CoSiHg2 PBEsol optimized geometry; D(E_F) = 0.475 states/eV per atom; formation energy (no corrections) = -0.0276 eV/atom; space-group type = Immm, No. 71; V = 17.17 A^3/atom
1.0
-2.129 1.668 0.072
-2.247 -2.833 -0.821
1.393 -0.722 7.048
Co Hg Si
1 2 1
Direct
0.000 0.500 0.000
0.675 0.675 0.351
0.325 0.325 0.649
0.500 0.000 0.000

=====

TaCoSiHg2 PBEsol optimized geometry; D(E_F) = 0.920 states/eV per atom; formation energy (no corrections) = 1.0962 eV/atom; space-group type = P4/mmm, No. 123; V = 18.82 A^3/atom
1.0
-1.628 2.193 -3.059
1.175 -3.456 -3.102
-4.237 -2.108 0.744
Si Co Hg Ta
1 1 2 1
Direct
0.000 0.000 0.000
0.500 0.000 0.000
0.000 0.000 0.500
0.000 0.500 0.000
0.500 0.500 0.500

=====

Co3SnHg PBEsol optimized geometry; formation energy from the elements = 1.5312 eV/atom; D(E_F) = 3.032 states/eV per atom; space-group type = Pm-3m, No. 221; V = 20.34 A^3/atom
1.0
4.667 0.000 0.000
0.000 4.667 0.000
0.000 0.000 4.667
Co Hg Sn
3 1 1
Direct
0.000 0.500 0.000
0.000 0.000 0.500
0.500 0.000 0.000
0.000 0.000 0.000
0.500 0.500 0.500

=====

Tl2CoSnHg PBEsol optimized geometry; formation energy from the elements = 0.0852 eV/atom; D(E_F) = 0.393 states/eV per atom; space-group type = P4/mmm, No. 123; V = 24.20 A^3/atom
1.0
-0.075 4.734 -0.814
-3.504 -0.662 -3.532
-3.593 0.539 3.463
Tl Co Hg Sn
2 1 1 1
Direct
0.000 0.000 0.500
0.000 0.500 0.000
0.000 0.000 0.000
0.500 0.500 0.500
0.500 0.000 0.000

=====

SrCo2Hg PBEsol optimized geometry; formation energy from the elements = 0.7453 eV/atom; D(E_F) = 1.485 states/eV per atom; space-group type = C2/m, No. 12; V = 17.63 A^3/atom
1.0
2.925 -0.013 -0.022
-1.151 5.181 0.042
-1.151 -2.281 4.652
Sr Co Hg
1 2 1
Direct
0.500 0.000 0.000
0.000 0.000 0.500
0.000 0.500 0.000
0.500 0.500 0.500

=====

SrCoHg2 PBEsol optimized geometry; formation energy from the elements = 0.1068 eV/atom; D(E_F) = 1.177 states/eV per atom; space-group type = P2/m, No. 10; V = 22.86 A^3/atom
1.0
3.692 0.000 -0.026
0.000 4.241 0.000
-1.840 0.000 5.852
Co Hg Sr
1 2 1
Direct
0.000 0.500 0.500
0.844 0.000 0.703
0.156 0.000 0.297
0.500 0.500 0.000

=====

SrCo2Hg PBEsol optimized geometry; formation energy from the elements = 0.2579 eV/atom; D(E_F) = 0.856 states/eV per atom; space-group type = P4mm, No. 99; V = 18.23 A^3/atom
1.0
-3.139 0.271 0.146
-0.178 -0.385 -3.125
-0.583 -7.249 0.927
Sr Co Hg
1 2 1
Direct
0.500 0.500 0.777
0.000 0.000 0.082
0.500 0.500 0.196
0.000 0.000 0.445

=====

SrCoHg2 PBEsol optimized geometry; formation energy from the elements = 0.0583 eV/atom; D(E_F) = 0.994 states/eV per atom; space-group type = Pmmm, No. 47; V = 21.20 A^3/atom
1.0
3.419 0.000 0.000
0.000 3.472 0.000
0.000 0.000 7.146
Co Hg Sr
1 2 1
Direct
0.500 0.500 0.500
0.000 0.000 0.696
0.000 0.000 0.304
0.500 0.500 0.000

=====

SrCo2Hg PBEsol optimized geometry; formation energy from the elements = 0.6421 eV/atom; D(E_F) = 1.185 states/eV per atom; space-group type = F-43m, No. 216; V = 18.86 A^3/atom
1.0
-4.171 -1.480 1.705
-2.559 -3.177 -2.420
-0.455 -4.426 1.643
Sr Co Hg
1 2 1
Direct
0.250 0.250 0.250
0.000 0.000 0.000
0.750 0.750 0.750
0.500 0.500 0.500

=====

SrCo2Hg PBEsol optimized geometry; formation energy from the elements = 0.9176 eV/atom; D(E_F) = 1.721 states/eV per atom; space-group type = R-3m, No. 166; V = 18.62 A^3/atom
1.0
3.172 0.000 0.000
1.586 2.747 0.000
1.586 0.916 8.547
Sr Co Hg
1 2 1
Direct
0.000 0.000 0.000
0.242 0.242 0.275
0.758 0.758 0.725
0.500 0.500 0.500

=====

TaCoHg2 PBEsol optimized geometry; formation energy from the elements = 0.5631 eV/atom; D(E_F) = 1.303 states/eV per atom; space-group type = P4/mmm, No. 123; V = 17.22 A^3/atom
1.0
2.918 0.000 0.000
0.000 4.858 0.000
0.000 0.000 4.858
Co Hg Ta
1 2 1
Direct
0.500 0.000 0.000
0.000 0.000 0.500
0.000 0.500 0.000
0.500 0.500 0.500

=====

TaCoHg PBEsol optimized geometry; formation energy from the elements = 0.9066 eV/atom; D(E_F) = 1.104 states/eV per atom; ΔE to the lowest computed polymorph = 0.6273 eV per atom; space-group type = F-43m, No. 216; V = 18.77 A^3/atom
1.0
-1.305 1.919 3.623
-4.203 0.403 0.827
-1.809 -2.326 3.135
Co Hg Ta
1 1 1
Direct
0.000 0.000 0.000
0.500 0.500 0.500
0.250 0.250 0.250

=====

Ta4CoHg PBEsol optimized geometry; formation energy from the elements = 0.6455 eV/atom; D(E_F) = 0.854 states/eV per atom; space-group type = F-43m, No. 216; V = 17.82 A^3/atom
1.0
5.327 0.000 0.000
2.664 4.614 0.000
2.664 1.538 4.350
Co Hg Ta
1 1 4
Direct
0.750 0.750 0.750
0.000 0.000 0.000
0.874 0.375 0.375
0.375 0.375 0.375
0.375 0.375 0.874
0.375 0.874 0.375

=====

TaCoHg PBEsol optimized geometry; formation energy from the elements = 0.2793 eV/atom; D(E_F) = 1.152 states/eV per atom; ΔE to the lowest computed polymorph = 0.0000 eV per atom; space-group type = P3m1, No. 156; V = 15.53 A^3/atom
1.0
2.789 0.000 0.000
0.000 4.392 0.000
0.000 -2.196 3.803
Co Hg Ta
1 1 1
Direct
0.933 0.000 0.000
0.780 0.333 0.667
0.288 0.667 0.333

=====

TaCo4Hg PBEsol optimized geometry; formation energy from the elements = -0.0108 eV/atom; D(E_F) = 1.453 states/eV per atom; space-group type = F-43m, No. 216; V = 12.36 A^3/atom
1.0
4.716 0.000 0.000
2.358 4.084 0.000
2.358 1.361 3.850
Co Hg Ta
4 1 1
Direct
0.375 0.375 0.375
0.375 0.375 0.874
0.874 0.375 0.375
0.375 0.874 0.375
0.750 0.750 0.750
0.000 0.000 0.000

=====

CoTcHg PBEsol optimized geometry; formation energy from the elements = 0.2894 eV/atom; D(E_F) = 0.923 states/eV per atom; space-group type = I4mm, No. 107; V = 14.48 A^3/atom
1.0
-1.255 0.404 2.429
0.921 -2.452 0.883
4.868 3.515 0.359
Co Hg Tc
1 1 1
Direct
0.983 0.983 0.967
0.660 0.660 0.321
0.356 0.356 0.712

=====

Co2TcHg PBEsol optimized geometry; formation energy from the elements = 0.4801 eV/atom; D(E_F) = 1.509 states/eV per atom; space-group type = Imm2, No. 44; V = 13.54 A^3/atom
1.0
2.709 0.000 0.000
0.000 4.423 0.000
-1.354 -2.212 4.521
Co Hg Tc
2 1 1
Direct
0.013 0.013 0.025
0.725 0.225 0.450
0.489 0.489 0.978
0.273 0.773 0.547

=====

Co2TcHg PBEsol optimized geometry; formation energy from the elements = 0.3057 eV/atom; D(E_F) = 0.690 states/eV per atom; space-group type = P4/mmm, No. 123; V = 13.59 A^3/atom
1.0
-0.668 -2.803 0.838
1.100 -1.037 -2.592
5.454 -0.544 2.532
Co Hg Tc
2 1 1
Direct
0.000 0.000 0.714
0.000 0.000 0.286
0.500 0.500 0.000
0.500 0.500 0.500

=====

Co2TcHg PBEsol optimized geometry; formation energy from the elements = 0.6842 eV/atom; D(E_F) = 1.710 states/eV per atom; space-group type = F-43m, No. 216; V = 13.65 A^3/atom
1.0
-2.438 -0.884 -3.377
0.027 -3.913 -1.679
-3.401 -2.526 0.433
Co Hg Tc
2 1 1
Direct
0.000 0.000 0.000
0.250 0.250 0.250
0.500 0.500 0.500
0.750 0.750 0.750

=====

CoHg2Te PBEsol optimized geometry; D(E_F) = 1.526 states/eV per atom; formation energy (no corrections) = 0.5546 eV/atom; space-group type = F-43m, No. 216; V = 20.23 A^3/atom
1.0
4.855 0.000 0.000
2.428 4.205 0.000
2.428 1.402 3.964
Co Hg Te
1 2 1
Direct
0.500 0.500 0.500
0.000 0.000 0.000
0.750 0.750 0.750
0.250 0.250 0.250